1.
BiTeIr after structural relaxation, computed with PBE.

Cell: 6.305 3.603 12.975 Å, 90.00 90.00 90.00°
Atoms (fractional coordinates):
Te (0.819, 0.250, 0.862)
Te (0.319, 0.250, 0.638)
Te (0.681, 0.750, 0.362)
Te (0.181, 0.750, 0.138)
Bi (0.682, 0.750, 0.107)
Bi (0.818, 0.250, 0.607)
Bi (0.182, 0.750, 0.393)
Bi (0.318, 0.250, 0.893)
Ir (0.081, 0.750, 0.751)
Ir (0.419, 0.250, 0.251)
Ir (0.581, 0.750, 0.749)
Ir (0.919, 0.250, 0.249)

Values from the calculation:
Space group ... Pnma
Total energy ... -5.2003 eV per atom

2.
BiTeIr after structural relaxation, computed with PBE.

Cell: 6.605 6.605 6.605 Å, 90.00 90.00 90.00°
Atoms (fractional coordinates):
Bi (0.868, 0.132, 0.632)
Bi (0.368, 0.368, 0.368)
Bi (0.132, 0.632, 0.868)
Bi (0.632, 0.868, 0.132)
Ir (0.507, 0.493, 0.993)
Ir (0.493, 0.993, 0.507)
Ir (0.993, 0.507, 0.493)
Ir (0.007, 0.007, 0.007)
Te (0.626, 0.626, 0.626)
Te (0.374, 0.126, 0.874)
Te (0.126, 0.874, 0.374)
Te (0.874, 0.374, 0.126)

Values from the calculation:
Space group ... P2_13
Total energy ... -5.5734 eV per atom

- Among the records above, which one has the lowest total energy?
  number 2